A) Density functional theory data (PBE) for a relaxed structure of TcSnF3.

a = 4.634 Å, b = 4.634 Å, c = 4.634 Å
α = 90.00°, β = 90.00°, γ = 90.00°
Positions (direct):
F 0.000 0.500 0.000
F 0.000 0.000 0.500
F 0.500 0.000 0.000
Tc 0.500 0.500 0.500
Sn 0.000 0.000 0.000

magnetic moment	5.023	μB/f.u.
crystal system	cubic
V	99.5	Å³ per cell
N(E_F)	7.19	states/eV per cell

=====

B) Density functional theory data (PBE) for a relaxed structure of TcSnF3.

a = 4.364 Å, b = 4.364 Å, c = 4.364 Å
α = 90.00°, β = 90.00°, γ = 90.00°
Positions (direct):
F 0.000 0.500 0.000
F 0.000 0.000 0.500
F 0.500 0.000 0.000
Tc 0.000 0.000 0.000
Sn 0.500 0.500 0.500

magnetic moment	3.085	μB/f.u.
crystal system	cubic
V	83.1	Å³ per cell
N(E_F)	4.19	states/eV per cell

=====

The energetic minimum among the shown structures is B); the next structure lies 188 meV/atom above.